Record 1
First-principles (GGA-PBE) data for crystalline Be3AsP at its relaxed geometry, as listed in Alexandria via LeMat-Bulk.

a = 4.227 Å, b = 4.227 Å, c = 4.227 Å
α = 90.00°, β = 90.00°, γ = 90.00°
Element x y z (fractional)
P: 0.500 0.500 0.500
As: 0.000 0.000 0.000
Be: 0.000 0.500 0.000
Be: 0.000 0.000 0.500
Be: 0.500 0.000 0.000

Results
Theoretical density: 2.92 g/cm3
ΔH_f (0 K): 0.80 eV per atom
Spin magnetization: 0.00 Bohr magnetons per cell
ΔE to the lowest computed polymorph: 904 meV/atom

=====

Record 2
First-principles (GGA-PBE) data for crystalline LiBiOs2 at its relaxed geometry, as listed in Alexandria via LeMat-Bulk.

a = 4.035 Å, b = 4.035 Å, c = 9.754 Å
α = 78.06°, β = 78.06°, γ = 90.00°
Element x y z (fractional)
Os: 0.533 0.125 0.250
Os: 0.217 0.625 0.250
Os: 0.375 0.467 0.750
Os: 0.875 0.783 0.750
Bi: 0.000 0.000 0.000
Bi: 0.750 0.250 0.500
Li: 0.500 0.500 0.000
Li: 0.250 0.750 0.500

Results
Theoretical density: 13.04 g/cm3
ΔH_f (0 K): 0.71 eV per atom
Spin magnetization: 0.00 Bohr magnetons per cell

=====

Record 3
First-principles (GGA-PBE) data for crystalline SrCaMg2F8 at its relaxed geometry, as listed in Alexandria via LeMat-Bulk.

a = 5.402 Å, b = 5.402 Å, c = 6.854 Å
α = 113.21°, β = 113.21°, γ = 90.00°
Element x y z (fractional)
Sr: 0.000 0.000 0.000
Ca: 0.750 0.250 0.500
Mg: 0.500 0.500 0.000
Mg: 0.250 0.750 0.500
F: 0.754 0.843 0.180
F: 0.426 0.337 0.180
F: 0.584 0.653 0.667
F: 0.083 0.015 0.667
F: 0.985 0.416 0.333
F: 0.347 0.917 0.333
F: 0.157 0.574 0.820
F: 0.663 0.246 0.820

Results
ΔE_f (raw): -3.696 eV per atom
Theoretical density: 3.28 g/cm3
Spin magnetization: 0.00 Bohr magnetons per cell

=====

Record 4
First-principles (GGA-PBE) data for crystalline SrTi2Si2 at its relaxed geometry, as listed in Alexandria via LeMat-Bulk.

a = 8.003 Å, b = 8.003 Å, c = 2.831 Å
α = 90.00°, β = 90.00°, γ = 90.00°
Site moments in Bohr magnetons follow the coordinates.
Element x y z (fractional)
Sr: 0.000 0.000 0.000  0.00
Sr: 0.500 0.500 0.000  0.00
Si: 0.170 0.670 0.500  -0.01
Si: 0.670 0.830 0.500  -0.01
Si: 0.830 0.330 0.500  -0.01
Si: 0.330 0.170 0.500  -0.01
Ti: 0.382 0.882 0.000  0.14
Ti: 0.882 0.618 0.000  0.12
Ti: 0.618 0.118 0.000  0.14
Ti: 0.118 0.382 0.000  0.12

Results
ΔE_f (raw): -0.282 eV per atom
Theoretical density: 4.39 g/cm3
Spin magnetization: 0.63 Bohr magnetons per cell
ΔE to the lowest computed polymorph: 152 meV/atom

=====

Record 5
First-principles (GGA-PBE) data for crystalline Ce2PrSn2Pd2 at its relaxed geometry, as listed in Alexandria via LeMat-Bulk.

a = 4.671 Å, b = 4.671 Å, c = 9.420 Å
α = 75.64°, β = 75.64°, γ = 60.00°
Site moments in Bohr magnetons follow the coordinates.
Element x y z (fractional)
Ce: 0.143 0.143 0.571  0.45
Ce: 0.857 0.857 0.429  0.45
Pr: 0.000 0.000 0.000  0.01
Sn: 0.736 0.736 0.792  -0.02
Sn: 0.264 0.264 0.208  -0.02
Pd: 0.563 0.563 0.312  -0.02
Pd: 0.437 0.437 0.688  -0.02

Results
Theoretical density: 8.48 g/cm3
ΔH_f (0 K): -0.74 eV per atom
Spin magnetization: 0.89 Bohr magnetons per cell

=====

Record 6
First-principles (GGA-PBE) data for crystalline Mg2In3Pb6 at its relaxed geometry, as listed in Alexandria via LeMat-Bulk.

a = 5.539 Å, b = 5.540 Å, c = 15.699 Å
α = 75.39°, β = 75.39°, γ = 118.00°
Element x y z (fractional)
Mg: 0.653 0.653 0.217
Mg: 0.347 0.347 0.783
In: 0.000 0.000 0.000
In: 0.994 0.993 0.328
In: 0.006 0.007 0.672
Pb: 0.865 0.519 0.878
Pb: 0.519 0.865 0.878
Pb: 0.135 0.481 0.122
Pb: 0.481 0.135 0.122
Pb: 0.667 0.667 0.559
Pb: 0.333 0.333 0.441

Results
Theoretical density: 7.33 g/cm3
ΔH_f (0 K): 0.18 eV per atom
Spin magnetization: 0.00 Bohr magnetons per cell

=====

Record 7
First-principles (GGA-PBE) data for crystalline LuPaCoPd at its relaxed geometry, as listed in Alexandria via LeMat-Bulk.

a = 4.812 Å, b = 4.812 Å, c = 4.812 Å
α = 60.00°, β = 60.00°, γ = 60.00°
Element x y z (fractional)
Co: 0.000 0.000 0.000
Pa: 0.750 0.750 0.750
Lu: 0.250 0.250 0.250
Pd: 0.500 0.500 0.500

Results
Theoretical density: 12.04 g/cm3
ΔH_f (0 K): -0.35 eV per atom
Spin magnetization: 0.00 Bohr magnetons per cell

=====

Record 8
First-principles (GGA-PBE) data for crystalline Th3ZnIr8 at its relaxed geometry, as listed in Alexandria via LeMat-Bulk.

a = 5.414 Å, b = 5.414 Å, c = 9.357 Å
α = 73.18°, β = 73.18°, γ = 60.00°
Element x y z (fractional)
Th: 0.622 0.622 0.133
Th: 0.010 0.010 0.969
Th: 0.493 0.493 0.522
Zn: 0.137 0.137 0.589
Ir: 0.563 0.059 0.816
Ir: 0.061 0.561 0.317
Ir: 0.563 0.563 0.816
Ir: 0.061 0.061 0.317
Ir: 0.810 0.810 0.569
Ir: 0.311 0.311 0.067
Ir: 0.059 0.563 0.816
Ir: 0.561 0.061 0.317

Results
Theoretical density: 17.05 g/cm3
ΔH_f (0 K): -0.65 eV per atom
Spin magnetization: 0.00 Bohr magnetons per cell

=====

Record 9
First-principles (GGA-PBE) data for crystalline CeAlP2Ir5 at its relaxed geometry, as listed in Alexandria via LeMat-Bulk.

a = 4.067 Å, b = 4.067 Å, c = 9.725 Å
α = 90.00°, β = 90.00°, γ = 90.00°
Site moments in Bohr magnetons follow the coordinates.
Element x y z (fractional)
Ce: 0.000 0.000 0.500  0.61
Al: 0.000 0.000 0.000  0.00
P: 0.500 0.500 0.265  0.00
P: 0.500 0.500 0.735  0.00
Ir: 0.000 0.500 0.158  -0.01
Ir: 0.500 0.000 0.158  -0.01
Ir: 0.000 0.500 0.842  -0.01
Ir: 0.500 0.000 0.842  -0.01
Ir: 0.500 0.500 0.500  -0.04

Results
Theoretical density: 12.28 g/cm3
ΔH_f (0 K): -0.65 eV per atom
Spin magnetization: 0.62 Bohr magnetons per cell

=====

Record 10
First-principles (GGA-PBE) data for crystalline NpTl2PbSe4 at its relaxed geometry, as listed in Alexandria via LeMat-Bulk.

a = 4.304 Å, b = 7.994 Å, c = 7.538 Å
α = 72.25°, β = 90.00°, γ = 90.00°
Site moments in Bohr magnetons follow the coordinates.
Element x y z (fractional)
Np: 0.000 0.500 0.500  3.42
Tl: 0.000 0.000 0.000  -0.01
Tl: 0.500 0.000 0.500  -0.01
Pb: 0.500 0.500 0.000  -0.01
Se: 0.000 0.712 0.736  -0.08
Se: 0.000 0.288 0.264  -0.08
Se: 0.500 0.706 0.284  -0.08
Se: 0.500 0.294 0.716  -0.08

Results
ΔE_f (raw): -0.721 eV per atom
Theoretical density: 7.86 g/cm3
Spin magnetization: 3.00 Bohr magnetons per cell

=====

Record 11
First-principles (GGA-PBE) data for crystalline Th6SiC2S3 at its relaxed geometry, as listed in Alexandria via LeMat-Bulk.

a = 3.963 Å, b = 8.160 Å, c = 9.019 Å
α = 104.28°, β = 102.69°, γ = 90.00°
Element x y z (fractional)
Th: 0.331 0.884 0.662
Th: 0.675 0.564 0.351
Th: 0.669 0.116 0.338
Th: 0.014 0.258 0.028
Th: 0.986 0.742 0.972
Th: 0.325 0.436 0.649
Si: 0.500 0.000 0.000
C: 0.828 0.662 0.657
C: 0.172 0.338 0.343
S: 0.500 0.500 0.000
S: 0.838 0.167 0.676
S: 0.162 0.833 0.324

Results
ΔE_f (raw): -1.180 eV per atom
Theoretical density: 9.29 g/cm3
Spin magnetization: 0.00 Bohr magnetons per cell

=====

Record 12
First-principles (GGA-PBE) data for crystalline Cs7RbNa2 at its relaxed geometry, as listed in Alexandria via LeMat-Bulk.

a = 5.271 Å, b = 14.147 Å, c = 14.147 Å
α = 104.11°, β = 90.00°, γ = 90.00°
Element x y z (fractional)
Cs: 0.000 0.711 0.289
Cs: 0.000 0.289 0.711
Cs: 0.500 0.115 0.367
Cs: 0.500 0.885 0.633
Cs: 0.500 0.367 0.115
Cs: 0.500 0.633 0.885
Cs: 0.500 0.500 0.500
Rb: 0.000 0.000 0.000
Na: 0.500 0.860 0.140
Na: 0.500 0.140 0.860

Results
Theoretical density: 1.72 g/cm3
ΔH_f (0 K): 0.05 eV per atom
Spin magnetization: 0.00 Bohr magnetons per cell